Entry from Alexandria via LeMat-Bulk: an optimized crystal structure of Rb3Li2TmBr9 (GGA-PBE).

## Properties
* crystal system: trigonal
* raw formation energy: -23.55 eV/f.u.

abc: 7.6937 7.6937 9.6202
angles: 90.00 90.00 120.00
Closest atoms and distances in Å follow each position.
Fractional positions:
Rb (0.3333, 0.6667, 0.6798)  12 Br 3.80-3.99
Rb (0.0000, 0.0000, 0.0000)  12 Br 3.85-3.91
Rb (0.6667, 0.3333, 0.3202)  12 Br 3.80-3.99
Li (0.3333, 0.6667, 0.1480)  6 Br 2.64-2.84
Li (0.6667, 0.3333, 0.8520)  6 Br 2.64-2.84
Tm (0.0000, 0.0000, 0.5000)  6 Br 2.75
Br (0.8321, 0.1679, 0.6664)  1 Tm 2.75, 1 Li 2.84
Br (0.8321, 0.6643, 0.6664)  1 Tm 2.75, 1 Li 2.84
Br (0.3357, 0.1679, 0.6664)  1 Tm 2.75, 1 Li 2.84
Br (0.6643, 0.8321, 0.3336)  1 Tm 2.75, 1 Li 2.84
Br (0.1679, 0.3357, 0.3336)  1 Tm 2.75, 1 Li 2.84
Br (0.1679, 0.8321, 0.3336)  1 Tm 2.75, 1 Li 2.84
Br (0.5000, 0.0000, 0.0000)  2 Li 2.64
Br (0.0000, 0.5000, 0.0000)  2 Li 2.64
Br (0.5000, 0.5000, 0.0000)  2 Li 2.64

***

Entry from Alexandria via LeMat-Bulk: an optimized crystal structure of PrY2ReO8 (GGA-PBE).

## Properties
* crystal system: orthorhombic
* raw formation energy: -32.74 eV/f.u.

abc: 5.0951 5.0932 6.9049
angles: 90.00 90.00 89.65
Closest atoms and distances in Å follow each position.
Fractional positions:
Pr (0.0000, 0.0000, 0.5000)  6 O 2.28-2.46
Y (0.5000, 0.5000, 0.7494)  6 O 2.18-2.43
Y (0.5000, 0.5000, 0.2506)  6 O 2.18-2.43
Re (0.0000, 0.0000, 0.0000)  6 O 1.91
O (0.1832, 0.8162, 0.1998)  1 Re 1.91
O (0.7357, 0.7362, 0.0000)  1 Re 1.91
O (0.8168, 0.1838, 0.1998)  1 Re 1.91
O (0.8168, 0.1838, 0.8002)  1 Re 1.91
O (0.2643, 0.2638, 0.0000)  1 Re 1.91
O (0.1832, 0.8162, 0.8002)  1 Re 1.91
O (0.6833, 0.6844, 0.5000)  2 Y 2.18, 1 Pr 2.28
O (0.3167, 0.3156, 0.5000)  2 Y 2.18, 1 Pr 2.28

***

Entry from Alexandria via LeMat-Bulk: an optimized crystal structure of Ni2HgGe (GGA-PBE).

## Properties
* crystal system: trigonal
* energy of formation from the pure elements: -7.84 kJ/mol of atoms

abc: 3.9891 3.9891 8.8781
angles: 90.00 90.00 120.00
Closest atoms and distances in Å follow each position.
Fractional positions:
Ni (0.3333, 0.6667, 0.5727)  3 Ge 2.42, 7 Ni 2.63-2.66
Ni (0.6667, 0.3333, 0.4273)  3 Ge 2.42, 7 Ni 2.63-2.66
Ni (0.3333, 0.6667, 0.2763)  3 Ge 2.38, 4 Ni 2.63-2.66
Ni (0.6667, 0.3333, 0.7237)  3 Ge 2.38, 4 Ni 2.63-2.66
Hg (0.3333, 0.6667, 0.9025)  4 Ni 2.80-2.93, 3 Hg 2.88
Hg (0.6667, 0.3333, 0.0975)  4 Ni 2.80-2.93, 3 Hg 2.88
Ge (0.0000, 0.0000, 0.3448)  6 Ni 2.38-2.42
Ge (0.0000, 0.0000, 0.6552)  6 Ni 2.38-2.42

***

Entry from Alexandria via LeMat-Bulk: an optimized crystal structure of RbNa2MgP (GGA-PBE).

## Properties
* crystal system: tetragonal
* energy of formation from the pure elements: -9.47 kJ/mol of atoms

abc: 5.7886 5.7886 5.1423
angles: 90.00 90.00 90.00
Closest atoms and distances in Å follow each position.
Fractional positions:
P (0.0000, 0.0000, 0.0000)  2 Mg 2.57
Mg (0.0000, 0.0000, 0.5000)  2 P 2.57
Rb (0.5000, 0.5000, 0.5000)  8 Na 3.87, 4 Mg 4.09
Na (0.0000, 0.5000, 0.0000)  2 P 2.89
Na (0.5000, 0.0000, 0.0000)  2 P 2.89

***

Entry from Alexandria via LeMat-Bulk: an optimized crystal structure of AlAs5 (GGA-PBE).

## Properties
* crystal system: tetragonal
* energy of formation from the pure elements: 33.86 kJ/mol of atoms

abc: 2.8514 2.8514 14.4113
angles: 90.00 90.00 90.00
Closest atoms and distances in Å follow each position.
Fractional positions:
Al (0.5000, 0.5000, 0.0000)  8 As 2.84, 4 Al 2.85
As (0.0000, 0.0000, 0.8610)  4 Al 2.84, 4 As 2.85
As (0.0000, 0.0000, 0.1390)  4 Al 2.84, 4 As 2.85
As (0.5000, 0.5000, 0.6606)  8 As 2.85-3.07
As (0.5000, 0.5000, 0.3394)  8 As 2.85-3.07
As (0.0000, 0.0000, 0.5000)  12 As 2.85-3.07

***

Entry from Alexandria via LeMat-Bulk: an optimized crystal structure of TlZn3P (GGA-PBE).

## Properties
* crystal system: cubic
* energy of formation from the pure elements: 92.84 kJ/mol of atoms

abc: 5.1476 5.1476 5.1476
angles: 90.00 90.00 90.00
Closest atoms and distances in Å follow each position.
Fractional positions:
P (0.5000, 0.5000, 0.5000)  12 Zn 3.64
Tl (0.0000, 0.0000, 0.0000)  6 Zn 2.57
Zn (0.0000, 0.5000, 0.0000)  2 Tl 2.57
Zn (0.0000, 0.0000, 0.5000)  2 Tl 2.57
Zn (0.5000, 0.0000, 0.0000)  2 Tl 2.57

***

Entry from Alexandria via LeMat-Bulk: an optimized crystal structure of La2TbPm5Sm (GGA-PBE).

## Properties
* crystal system: tetragonal
* energy of formation from the pure elements: 23.67 kJ/mol of atoms

abc: 8.7447 8.7447 10.2630
angles: 115.22 115.22 90.00
Closest atoms and distances in Å follow each position.
Fractional positions:
La (0.1198, 0.3802, 0.0000)  1 La 2.96, 2 Pm 3.08
La (0.6198, 0.1198, 0.0000)  1 La 2.96, 2 Pm 3.08
La (0.3802, 0.8802, 0.0000)  1 La 2.96, 2 Pm 3.08
La (0.8802, 0.6198, 0.0000)  1 La 2.96, 2 Pm 3.08
Tb (0.2500, 0.7500, 0.5000)  4 Pm 3.21
Tb (0.7500, 0.2500, 0.5000)  4 Pm 3.21
Pm (0.9253, 0.4253, 0.2852)  1 La 3.08, 1 Tb 3.21
Pm (0.6400, 0.1400, 0.7148)  1 La 3.08, 1 Tb 3.21
Pm (0.0747, 0.5747, 0.7148)  1 La 3.08, 1 Tb 3.21
Pm (0.1400, 0.0747, 0.7148)  1 La 3.08, 1 Tb 3.21
Pm (0.5747, 0.6400, 0.7148)  1 La 3.08, 1 Tb 3.21
Pm (0.8600, 0.9253, 0.2852)  1 La 3.08, 1 Tb 3.21
Pm (0.4253, 0.3600, 0.2852)  1 La 3.08, 1 Tb 3.21
Pm (0.3600, 0.8600, 0.2852)  1 La 3.08, 1 Tb 3.21
Pm (0.5000, 0.5000, 0.0000)  4 La 3.49, 8 Pm 3.90
Pm (0.0000, 0.0000, 0.0000)  4 La 3.49, 8 Pm 3.90
Sm (0.2500, 0.2500, 0.5000)  8 Pm 3.58
Sm (0.7500, 0.7500, 0.5000)  8 Pm 3.58

***

Entry from Alexandria via LeMat-Bulk: an optimized crystal structure of SmYHo2Er5 (GGA-PBE).

## Properties
* crystal system: tetragonal
* energy of formation from the pure elements: 28.31 kJ/mol of atoms

abc: 8.7953 8.7953 9.6565
angles: 117.09 117.09 90.00
Closest atoms and distances in Å follow each position.
Fractional positions:
Sm (0.2500, 0.7500, 0.5000)  4 Er 3.07
Sm (0.7500, 0.2500, 0.5000)  4 Er 3.07
Y (0.2500, 0.2500, 0.5000)  10 Er 3.61-3.69
Y (0.7500, 0.7500, 0.5000)  10 Er 3.61-3.69
Ho (0.1145, 0.3855, 0.0000)  1 Ho 2.85, 2 Er 3.00
Ho (0.6145, 0.1145, 0.0000)  1 Ho 2.85, 2 Er 3.00
Ho (0.3855, 0.8855, 0.0000)  1 Ho 2.85, 2 Er 3.00
Ho (0.8855, 0.6145, 0.0000)  1 Ho 2.85, 2 Er 3.00
Er (0.9295, 0.4295, 0.2659)  1 Ho 3.00, 1 Sm 3.07
Er (0.6636, 0.1636, 0.7341)  1 Ho 3.00, 1 Sm 3.07
Er (0.0705, 0.5705, 0.7341)  1 Ho 3.00, 1 Sm 3.07
Er (0.1636, 0.0705, 0.7341)  1 Ho 3.00, 1 Sm 3.07
Er (0.5705, 0.6636, 0.7341)  1 Ho 3.00, 1 Sm 3.07
Er (0.8364, 0.9295, 0.2659)  1 Ho 3.00, 1 Sm 3.07
Er (0.4295, 0.3364, 0.2659)  1 Ho 3.00, 1 Sm 3.07
Er (0.3364, 0.8364, 0.2659)  1 Ho 3.00, 1 Sm 3.07
Er (0.5000, 0.5000, 0.0000)  4 Ho 3.54, 2 Y 3.69, 8 Er 3.72
Er (0.0000, 0.0000, 0.0000)  4 Ho 3.54, 2 Y 3.69, 8 Er 3.72

***

| no. | theoretical density (Mg/m³) |
| --- | --- |
| 1 | 3.9 |
| 2 | 5.9 |
| 3 | 10.6 |
| 4 | 1.8 |
| 5 | 5.7 |
| 6 | 5.3 |
| 7 | 7.0 |
| 8 | 8.2 |